1.
# NaNpCr2O8

Crystalline NaNpCr2O8 at its relaxed geometry (GGA+U, the Alexandria database).

- Total magnetization: 4.00 μB/f.u.
- DFT total energy: -7.550 eV per atom

Cell: 5.9265 5.9265 5.9265 Å, 107.00 107.00 114.54°
Fractional coordinates of all 12 atoms:
Na (0.0000, 0.0000, 0.0000)
Np (0.7500, 0.2500, 0.5000)
Cr (0.2500, 0.7500, 0.5000)
Cr (0.5000, 0.5000, 0.0000)
O (0.0848, 0.4029, 0.3181)
O (0.0848, 0.7667, 0.6819)
O (0.1280, 0.3360, 0.7920)
O (0.2333, 0.9152, 0.3181)
O (0.5439, 0.3360, 0.2080)
O (0.5971, 0.9152, 0.6819)
O (0.6640, 0.4561, 0.7920)
O (0.6640, 0.8720, 0.2080)

---

2.
# NaNpCr2O6

Crystalline NaNpCr2O6 at its relaxed geometry (GGA+U, the Alexandria database).

- Total magnetization: 8.00 μB/f.u.
- DFT total energy: -8.094 eV per atom

Cell: 5.6563 5.6563 5.6563 Å, 57.12 57.12 57.12°
Fractional coordinates of all 10 atoms:
Na (0.0000, 0.0000, 0.0000)
Np (0.4819, 0.4819, 0.4819)
Cr (0.2745, 0.2745, 0.2745)
Cr (0.7830, 0.7830, 0.7830)
O (0.0657, 0.6271, 0.4395)
O (0.1570, 0.5424, 0.9099)
O (0.4395, 0.0657, 0.6271)
O (0.5424, 0.9099, 0.1570)
O (0.6271, 0.4395, 0.0657)
O (0.9099, 0.1570, 0.5424)

---

3.
# Na2NpCrO6

Crystalline Na2NpCrO6 at its relaxed geometry (GGA+U, the Alexandria database).

- Total magnetization: 3.00 μB/f.u.
- DFT total energy: -7.489 eV per atom

Cell: 5.5554 5.6232 9.6471 Å, 90.00 125.00 90.00°
Fractional coordinates of all 20 atoms:
Na (0.2429, 0.0290, 0.2495)
Na (0.2429, 0.4710, 0.7495)
Na (0.7571, 0.5290, 0.2505)
Na (0.7571, 0.9710, 0.7505)
Np (0.5000, 0.0000, 0.0000)
Np (0.5000, 0.5000, 0.5000)
Cr (0.0000, 0.0000, 0.5000)
Cr (0.0000, 0.5000, 0.0000)
O (0.1723, 0.2132, 0.9615)
O (0.1723, 0.2868, 0.4615)
O (0.2492, 0.7120, 0.9609)
O (0.2492, 0.7880, 0.4609)
O (0.3247, 0.0178, 0.7493)
O (0.3247, 0.4822, 0.2493)
O (0.6753, 0.5178, 0.7507)
O (0.6753, 0.9822, 0.2507)
O (0.7508, 0.2120, 0.5391)
O (0.7508, 0.2880, 0.0391)
O (0.8277, 0.7132, 0.5385)
O (0.8277, 0.7868, 0.0385)